(1)
This record from OQMD via LeMat-Bulk describes Mg6Tl2Pt after structural relaxation. The functional is PBE.

Values from the calculation:
E_tot = -2.520 eV per atom

a b c (Å): 7.9010 7.9010 3.6447
angles (deg): 90.00 90.00 120.00
Space group P-62m (No. 189)
Symmetry-distinct sites (fractional):
Mg  0.0000  0.3633  0.0000
Mg  0.0000  0.7518  0.5000
Tl  0.3333  0.6667  0.5000
Pt  0.0000  0.0000  0.0000

***

(2)
This record from OQMD via LeMat-Bulk describes Y2Ta4Al3C3 after structural relaxation. The functional is PBE.

Values from the calculation:
E_tot = -8.842 eV per atom

a b c (Å): 9.7581 5.6217 14.4887
angles (deg): 90.00 103.31 90.00
Space group C2/c (No. 15)
Symmetry-distinct sites (fractional):
Y  0.0413  0.0806  0.3852
Ta  0.1106  0.4040  0.5796
Ta  0.2294  0.4224  0.9205
Al  0.0000  0.4257  0.7500
Al  0.2455  0.1587  0.7521
C  0.0868  0.2607  0.9998
C  0.2500  0.2500  0.5000

***

(3)
This record from OQMD via LeMat-Bulk describes NdZn after structural relaxation. The functional is PBE.

Values from the calculation:
energy relative to the elements = -0.10 eV/atom
E_tot = -3.109 eV per atom

a b c (Å): 5.7335 5.3817 8.5713
angles (deg): 90.00 109.39 90.00
Space group Pm (No. 6)
Symmetry-distinct sites (fractional):
Nd  0.0000  0.0000  0.0000
Nd  0.0271  0.5000  0.7615
Nd  0.2646  0.5000  0.2387
Nd  0.4346  0.0000  0.7724
Nd  0.6617  0.0000  0.2283
Zn  0.2157  0.0000  0.3980
Zn  0.4687  0.5000  0.6105
Zn  0.6574  0.5000  0.0005
Zn  0.8195  0.0000  0.6026
Zn  0.8562  0.5000  0.3896